1.
First-principles (PBE-GGA) data for a relaxed Li3Cd3Pt crystal, as listed in Alexandria via LeMat-Bulk.

Cell: 11.847 3.973 10.762 Å, 90.00 90.00 90.00°
Space group Pnma (No. 62)
Inequivalent atoms, fractional coordinates:
Li (0.005, 0.250, 0.190) (multiplicity 4)
Li (0.186, 0.750, 0.557) (multiplicity 4)
Li (0.215, 0.750, 0.812) (multiplicity 4)
Cd (0.061, 0.250, 0.421) (multiplicity 4)
Cd (0.092, 0.250, 0.952) (multiplicity 4)
Cd (0.168, 0.750, 0.171) (multiplicity 4)
Pt (0.092, 0.250, 0.689) (multiplicity 4)

Distance to the lowest polymorph of the same formula ... 0.000 eV per atom
ΔH_f (0 K) ... -0.29 eV per atom

=====

2.
First-principles (PBE-GGA) data for a relaxed Li3Cd6Pt crystal, as listed in Alexandria via LeMat-Bulk.

Cell: 12.6398 12.6398 8.3783 Å, 90.00 90.00 120.00°
Space group R-3 (No. 148, hexagonal axes)
Inequivalent atoms, fractional coordinates:
Li (0.0184, 0.1437, 0.2508) (multiplicity 18)
Cd (0.0049, 0.2286, 0.5616) (multiplicity 18)
Cd (0.0669, 0.2535, 0.9459) (multiplicity 18)
Pt (0.0000, 0.0000, 0.0000) (multiplicity 3)
Pt (0.0000, 0.0000, 0.5000) (multiplicity 3)

ΔH_f (0 K) ... -0.25 eV per atom

=====

3.
First-principles (PBE-GGA) data for a relaxed Li2CdPt crystal, as listed in Alexandria via LeMat-Bulk.

Cell: 4.682 2.977 4.802 Å, 90.00 106.32 90.00°
Space group P2/m (No. 10)
Inequivalent atoms, fractional coordinates:
Li (0.000, 0.000, 0.000) (multiplicity 1)
Li (0.000, 0.500, 0.500) (multiplicity 1)
Cd (0.500, 0.000, 0.500) (multiplicity 1)
Pt (0.500, 0.500, 0.000) (multiplicity 1)

ΔH_f (0 K) ... -0.38 eV per atom

=====

4.
First-principles (PBE-GGA) data for a relaxed Li4Cd5Pt crystal, as listed in Alexandria via LeMat-Bulk.

Cell: 3.113 3.661 15.928 Å, 90.00 90.00 90.00°
Space group Pmmm (No. 47)
Inequivalent atoms, fractional coordinates:
Li (0.000, 0.000, 0.102) (multiplicity 2)
Li (0.000, 0.000, 0.308) (multiplicity 2)
Cd (0.500, 0.500, 0.000) (multiplicity 1)
Cd (0.500, 0.500, 0.204) (multiplicity 2)
Cd (0.500, 0.500, 0.402) (multiplicity 2)
Pt (0.000, 0.000, 0.500) (multiplicity 1)

ΔH_f (0 K) ... -0.27 eV per atom

=====

5.
First-principles (PBE-GGA) data for a relaxed Li4CdPt crystal, as listed in Alexandria via LeMat-Bulk.

Cell: 7.035 7.035 7.035 Å, 90.00 90.00 90.00°
Space group F-43m (No. 216)
Inequivalent atoms, fractional coordinates:
Li (0.123, 0.123, 0.123) (multiplicity 16)
Cd (0.000, 0.000, 0.500) (multiplicity 4)
Pt (0.250, 0.250, 0.750) (multiplicity 4)

Distance to the lowest polymorph of the same formula ... 0.145 eV per atom
ΔH_f (0 K) ... -0.22 eV per atom

=====

6.
First-principles (PBE-GGA) data for a relaxed Li2CdPt crystal, as listed in Alexandria via LeMat-Bulk.

Cell: 3.871 4.003 4.044 Å, 90.00 90.00 90.00°
Space group Pmmm (No. 47)
Inequivalent atoms, fractional coordinates:
Li (0.000, 0.000, 0.000) (multiplicity 1)
Li (0.000, 0.500, 0.500) (multiplicity 1)
Cd (0.500, 0.000, 0.500) (multiplicity 1)
Pt (0.500, 0.500, 0.000) (multiplicity 1)

ΔH_f (0 K) ... -0.43 eV per atom

=====

7.
First-principles (PBE-GGA) data for a relaxed LiCd3Pt crystal, as listed in Alexandria via LeMat-Bulk.

Cell: 9.445 4.702 9.676 Å, 90.00 113.15 90.00°
Space group C2/m (No. 12)
Inequivalent atoms, fractional coordinates:
Li (0.122, 0.000, 0.124) (multiplicity 4)
Cd (0.002, 0.000, 0.338) (multiplicity 4)
Cd (0.117, 0.500, 0.928) (multiplicity 4)
Cd (0.192, 0.500, 0.358) (multiplicity 4)
Pt (0.141, 0.500, 0.633) (multiplicity 4)

Distance to the lowest polymorph of the same formula ... 0.158 eV per atom
ΔH_f (0 K) ... -0.19 eV per atom

=====

8.
First-principles (PBE-GGA) data for a relaxed Li5Cd4Pt crystal, as listed in Alexandria via LeMat-Bulk.

Cell: 3.185 3.185 16.873 Å, 90.00 90.00 90.00°
Space group P4/mmm (No. 123)
Inequivalent atoms, fractional coordinates:
Li (0.000, 0.000, 0.000) (multiplicity 1)
Li (0.000, 0.000, 0.213) (multiplicity 2)
Li (0.000, 0.000, 0.423) (multiplicity 2)
Cd (0.500, 0.500, 0.106) (multiplicity 2)
Cd (0.500, 0.500, 0.321) (multiplicity 2)
Pt (0.500, 0.500, 0.500) (multiplicity 1)

ΔH_f (0 K) ... -0.31 eV per atom

=====

9.
First-principles (PBE-GGA) data for a relaxed Li2Cd6Pt crystal, as listed in Alexandria via LeMat-Bulk.

Cell: 6.246 6.246 11.980 Å, 90.00 90.00 90.00°
Space group P4_2/mnm (No. 136)
Inequivalent atoms, fractional coordinates:
Li (0.000, 0.000, 0.225) (multiplicity 4)
Cd (0.197, 0.197, 0.500) (multiplicity 4)
Cd (0.235, 0.765, 0.374) (multiplicity 8)
Pt (0.000, 0.000, 0.000) (multiplicity 2)

Distance to the lowest polymorph of the same formula ... 0.294 eV per atom
ΔH_f (0 K) ... 0.03 eV per atom

=====

10.
First-principles (PBE-GGA) data for a relaxed LiCd2Pt9 crystal, as listed in Alexandria via LeMat-Bulk.

Cell: 3.983 3.983 12.009 Å, 90.00 90.00 90.00°
Space group P4/mmm (No. 123)
Inequivalent atoms, fractional coordinates:
Li (0.000, 0.000, 0.000) (multiplicity 1)
Cd (0.000, 0.000, 0.329) (multiplicity 2)
Pt (0.000, 0.500, 0.156) (multiplicity 4)
Pt (0.000, 0.500, 0.500) (multiplicity 2)
Pt (0.500, 0.500, 0.000) (multiplicity 1)
Pt (0.500, 0.500, 0.328) (multiplicity 2)

ΔH_f (0 K) ... -0.26 eV per atom

=====

11.
First-principles (PBE-GGA) data for a relaxed Li2Cd6Pt crystal, as listed in Alexandria via LeMat-Bulk.

Cell: 8.196 4.753 8.867 Å, 90.00 90.45 90.00°
Space group C2/m (No. 12)
Inequivalent atoms, fractional coordinates:
Li (0.167, 0.000, 0.293) (multiplicity 4)
Cd (0.000, 0.500, 0.184) (multiplicity 4)
Cd (0.167, 0.000, 0.599) (multiplicity 4)
Cd (0.167, 0.000, 0.946) (multiplicity 4)
Pt (0.000, 0.500, 0.500) (multiplicity 2)

Distance to the lowest polymorph of the same formula ... 0.000 eV per atom
ΔH_f (0 K) ... -0.26 eV per atom

=====

12.
First-principles (PBE-GGA) data for a relaxed LiCd3Pt3 crystal, as listed in Alexandria via LeMat-Bulk.

Cell: 9.159 9.344 6.019 Å, 90.00 90.00 90.00°
Space group Cmmm (No. 65)
Inequivalent atoms, fractional coordinates:
Li (0.000, 0.243, 0.000) (multiplicity 4)
Cd (0.000, 0.258, 0.500) (multiplicity 4)
Cd (0.228, 0.500, 0.000) (multiplicity 4)
Cd (0.237, 0.500, 0.500) (multiplicity 4)
Pt (0.000, 0.000, 0.241) (multiplicity 4)
Pt (0.250, 0.250, 0.239) (multiplicity 8)

ΔH_f (0 K) ... -0.33 eV per atom